Record 1
The following is a PBE calculation of crystalline La3Al8Cu3 at its relaxed geometry, from Alexandria via LeMat-Bulk.

Properties
Space group: Immm (71)
ΔH_f (0 K): -0.382 eV per atom
ρ: 4.88 g/cm3
DOS(E_F): 5.9 states/eV per cell
Crystal system: orthorhombic

abc: 8.349 8.349 8.349
angles: 149.05 107.25 81.13
Atoms (fractional coordinates):
La1 0.000 0.000 0.000
La2 0.309 0.309 0.000
La3 0.691 0.691 0.000
Al1 0.022 0.662 0.361
Al2 0.167 0.880 0.287
Al3 0.301 0.662 0.639
Al4 0.407 0.120 0.287
Al5 0.593 0.880 0.713
Al6 0.699 0.338 0.361
Al7 0.833 0.120 0.713
Al8 0.978 0.338 0.639
Cu1 0.286 0.500 0.786
Cu2 0.500 0.000 0.500
Cu3 0.714 0.500 0.214



Record 2
The following is a PBE calculation of crystalline Sr2LiIr at its relaxed geometry, from Alexandria via LeMat-Bulk.

Properties
Space group: Cm (8)
ΔH_f (0 K): -0.140 eV per atom
ρ: 4.95 g/cm3
DOS(E_F): 2.7 states/eV per cell
Crystal system: monoclinic

abc: 7.601 4.391 7.944
angles: 90.00 108.65 90.00
Atoms (fractional coordinates):
Sr1 0.000 0.000 0.000
Sr2 0.168 0.000 0.503
Sr3 0.500 0.500 0.000
Sr4 0.668 0.500 0.503
Li1 0.251 0.500 0.252
Li2 0.751 0.000 0.252
Ir1 0.417 0.000 0.251
Ir2 0.917 0.500 0.251



Record 3
The following is a PBE calculation of crystalline AlInFe at its relaxed geometry, from Alexandria via LeMat-Bulk.

Properties
Space group: Imma (74)
ΔH_f (0 K): -0.051 eV per atom
ρ: 6.46 g/cm3
DOS(E_F): 7.0 states/eV per cell
Crystal system: orthorhombic

abc: 2.875 3.979 17.761
angles: 90.00 90.00 90.00
Atoms (fractional coordinates):
Al1 0.000 0.250 0.185
Al2 0.000 0.750 0.815
Al3 0.500 0.250 0.315
Al4 0.500 0.750 0.685
In1 0.000 0.250 0.937
In2 0.000 0.750 0.063
In3 0.500 0.250 0.563
In4 0.500 0.750 0.437
Fe1 0.000 0.250 0.695
Fe2 0.000 0.750 0.305
Fe3 0.500 0.250 0.805
Fe4 0.500 0.750 0.195



Record 4
The following is a PBE calculation of crystalline GaCuSi at its relaxed geometry, from Alexandria via LeMat-Bulk.

Properties
Space group: C2/m (12)
ρ: 6.05 g/cm3
DOS(E_F): 3.1 states/eV per cell
Formation energy without anion corrections: 0.257 eV/f.u.
Crystal system: monoclinic

abc: 5.983 5.278 5.810
angles: 90.00 105.23 90.00
Atoms (fractional coordinates):
Ga1 0.093 0.000 0.316
Ga2 0.407 0.500 0.684
Ga3 0.593 0.500 0.316
Ga4 0.907 0.000 0.684
Cu1 0.250 0.250 0.000
Cu2 0.250 0.750 0.000
Cu3 0.750 0.250 0.000
Cu4 0.750 0.750 0.000
Si1 0.067 0.500 0.288
Si2 0.433 0.000 0.712
Si3 0.567 0.000 0.288
Si4 0.933 0.500 0.712



Record 5
The following is a PBE calculation of crystalline SrBeBr2 at its relaxed geometry, from Alexandria via LeMat-Bulk.

Properties
Space group: Imm2 (44)
ρ: 3.37 g/cm3
Formation energy without anion corrections: -2.406 eV/f.u.
Crystal system: orthorhombic

abc: 3.931 4.939 13.033
angles: 90.00 90.00 90.00
Atoms (fractional coordinates):
Sr1 0.000 0.000 0.000
Sr2 0.500 0.500 0.500
Be1 0.000 0.500 0.277
Be2 0.500 0.000 0.777
Br1 0.000 0.000 0.465
Br2 0.000 0.500 0.682
Br3 0.500 0.000 0.182
Br4 0.500 0.500 0.965



Record 6
The following is a PBE calculation of crystalline SbMoRu at its relaxed geometry, from Alexandria via LeMat-Bulk.

Properties
Space group: Imm2 (44)
ρ: 10.46 g/cm3
DOS(E_F): 5.4 states/eV per cell
Formation energy without anion corrections: 0.745 eV/f.u.
Crystal system: orthorhombic

abc: 2.998 4.057 8.319
angles: 90.00 90.00 90.00
Atoms (fractional coordinates):
Sb1 0.000 0.000 0.000
Sb2 0.500 0.500 0.500
Mo1 0.000 0.000 0.673
Mo2 0.500 0.500 0.173
Ru1 0.000 0.000 0.326
Ru2 0.500 0.500 0.826



Record 7
The following is a PBE calculation of crystalline Tl9Hg2Bi at its relaxed geometry, from Alexandria via LeMat-Bulk.

Properties
Space group: P4/mmm (123)
ΔH_f (0 K): -0.001 eV per atom
ρ: 11.02 g/cm3
DOS(E_F): 6.7 states/eV per cell
Crystal system: tetragonal

abc: 5.445 5.445 12.446
angles: 90.00 90.00 90.00
Atoms (fractional coordinates):
Tl1 0.000 0.000 0.000
Tl2 0.000 0.000 0.341
Tl3 0.000 0.000 0.659
Tl4 0.000 0.500 0.172
Tl5 0.000 0.500 0.500
Tl6 0.000 0.500 0.828
Tl7 0.500 0.000 0.172
Tl8 0.500 0.000 0.500
Tl9 0.500 0.000 0.828
Hg1 0.500 0.500 0.335
Hg2 0.500 0.500 0.665
Bi1 0.500 0.500 0.000



Record 8
The following is a PBE calculation of crystalline CdPHS2 at its relaxed geometry, from Alexandria via LeMat-Bulk.

Properties
Space group: P4/mmm (123)
Final energy: -10.808 eV/cell
ρ: 2.59 g/cm3
DOS(E_F): 4.9 states/eV per cell
Crystal system: tetragonal

abc: 5.087 5.087 5.166
angles: 90.00 90.00 90.00
Atoms (fractional coordinates):
Cd1 0.000 0.000 0.000
P1 0.000 0.000 0.500
H1 0.500 0.500 0.500
S1 0.000 0.500 0.000
S2 0.500 0.000 0.000



Record 9
The following is a PBE calculation of crystalline SrPb3I6Br2 at its relaxed geometry, from Alexandria via LeMat-Bulk.

Properties
Space group: C2/m (12)
ρ: 5.11 g/cm3
DOS(E_F): 0.0 states/eV per cell
Formation energy without anion corrections: -11.351 eV/f.u.
Crystal system: monoclinic

abc: 9.246 9.246 7.164
angles: 93.73 93.73 60.19
Atoms (fractional coordinates):
Sr1 0.000 0.000 0.000
Pb1 0.000 0.500 0.000
Pb2 0.500 0.000 0.000
Pb3 0.500 0.500 0.500
I1 0.158 0.655 0.734
I2 0.159 0.159 0.743
I3 0.345 0.842 0.266
I4 0.655 0.158 0.734
I5 0.841 0.841 0.257
I6 0.842 0.345 0.266
Br1 0.336 0.336 0.233
Br2 0.664 0.664 0.767



Record 10
The following is a PBE calculation of crystalline TmNiAu at its relaxed geometry, from Alexandria via LeMat-Bulk.

Properties
Space group: P1 (1)
ΔH_f (0 K): -0.557 eV per atom
ρ: 12.35 g/cm3
DOS(E_F): 3.3 states/eV per cell
Crystal system: triclinic

abc: 4.089 4.818 6.900
angles: 70.16 90.00 65.00
Atoms (fractional coordinates):
Tm1 0.000 0.000 0.000
Tm2 0.234 0.532 0.525
Ni1 0.292 0.415 0.964
Ni2 0.496 0.008 0.317
Au1 0.609 0.783 0.742
Au2 0.772 0.455 0.232



Record 11
The following is a PBE calculation of crystalline Pr2Ga3SbPt4 at its relaxed geometry, from Alexandria via LeMat-Bulk.

Properties
Space group: P-4m2 (115)
ρ: 11.34 g/cm3
DOS(E_F): 4.2 states/eV per cell
Formation energy without anion corrections: -9.283 eV/f.u.
Crystal system: tetragonal

abc: 4.393 4.393 10.571
angles: 90.00 90.00 90.00
Atoms (fractional coordinates):
Pr1 0.000 0.500 0.242
Pr2 0.500 0.000 0.758
Ga1 0.000 0.500 0.876
Ga2 0.500 0.000 0.124
Ga3 0.500 0.500 0.500
Sb1 0.000 0.000 0.500
Pt1 0.000 0.000 0.000
Pt2 0.000 0.500 0.641
Pt3 0.500 0.000 0.359
Pt4 0.500 0.500 0.000



Record 12
The following is a PBE calculation of crystalline RbGeI2Br at its relaxed geometry, from Alexandria via LeMat-Bulk.

Properties
Space group: P2_1/m (11)
ρ: 4.02 g/cm3
DOS(E_F): 0.0 states/eV per cell
Formation energy without anion corrections: -4.353 eV/f.u.
Crystal system: monoclinic

abc: 9.421 4.548 9.682
angles: 90.00 101.63 90.00
Atoms (fractional coordinates):
Rb1 0.164 0.250 0.307
Rb2 0.836 0.750 0.693
Ge1 0.327 0.750 0.838
Ge2 0.673 0.250 0.162
I1 0.134 0.250 0.902
I2 0.458 0.750 0.195
I3 0.542 0.250 0.805
I4 0.866 0.750 0.098
Br1 0.196 0.750 0.577
Br2 0.804 0.250 0.423



The highest ρ belongs to which entry?
TmNiAu